Entry from Alexandria: an optimized crystal structure of Sr3Sb3N5 (PBE).

Lattice parameters (Å, degrees): 6.0961 7.4283 10.8410 100.93 96.57 95.33
Last column: nearest neighbours and their distance in Å.
Atoms (fractional coordinates):
Sr  0.7252  0.3721  0.5288  2 N 2.50-2.60
Sr  0.2748  0.6279  0.4712  2 N 2.50-2.60
Sr  0.7108  0.8668  0.9238  5 N 2.55-2.82
Sr  0.2892  0.1332  0.0762  5 N 2.55-2.82
Sr  0.7415  0.8045  0.2678  4 N 2.62-2.65
Sr  0.2585  0.1955  0.7322  4 N 2.62-2.65
Sb  0.7985  0.3721  0.9316  3 N 2.06-2.10
Sb  0.2015  0.6279  0.0684  3 N 2.06-2.10
Sb  0.7181  0.9204  0.6115  3 N 2.04-2.11
Sb  0.2819  0.0796  0.3885  3 N 2.04-2.11
Sb  0.1749  0.7307  0.7649  3 N 2.05-2.09
Sb  0.8251  0.2693  0.2351  3 N 2.05-2.09
N  0.9658  0.9319  0.7625  2 Sb 2.05-2.08
N  0.0342  0.0681  0.2375  2 Sb 2.05-2.08
N  0.7044  0.6850  0.4777  1 Sb 2.04
N  0.2956  0.3150  0.5223  1 Sb 2.04
N  0.8559  0.6311  0.0517  2 Sb 2.08-2.10
N  0.1441  0.3689  0.9483  2 Sb 2.08-2.10
N  0.4317  0.8781  0.6998  2 Sb 2.09-2.11
N  0.5683  0.1219  0.3002  2 Sb 2.09-2.11
N  0.2986  0.8049  0.9549  2 Sb 2.06
N  0.7014  0.1951  0.0451  2 Sb 2.06

## Properties
* crystal system: triclinic
* theoretical density: 4876 kg/m³
* energy relative to the elements, uncorrected: -295 meV/atom

Entry from Alexandria: an optimized crystal structure of Er2MgCu2 (PBE).

Lattice parameters (Å, degrees): 3.6988 7.5497 7.5497 90.00 90.00 90.00
Last column: nearest neighbours and their distance in Å.
Atoms (fractional coordinates):
Mg  0.0000  0.5000  0.5000  4 Cu 2.99
Mg  0.0000  0.0000  0.0000  4 Cu 2.99
Cu  0.0000  0.8755  0.3755  1 Cu 2.66, 6 Er 2.88-2.90
Cu  0.0000  0.6245  0.8755  1 Cu 2.66, 6 Er 2.88-2.90
Cu  0.0000  0.1245  0.6245  1 Cu 2.66, 6 Er 2.88-2.90
Cu  0.0000  0.3755  0.1245  1 Cu 2.66, 6 Er 2.88-2.90
Er  0.5000  0.3314  0.8314  6 Cu 2.88-2.90
Er  0.5000  0.1686  0.3314  6 Cu 2.88-2.90
Er  0.5000  0.8314  0.6686  6 Cu 2.88-2.90
Er  0.5000  0.6686  0.1686  6 Cu 2.88-2.90

## Properties
* crystal system: tetragonal
* final energy: -4.040 eV/atom
* theoretical density: 7654 kg/m³

Entry from Alexandria: an optimized crystal structure of Ac2Pm6Nd (PBE).

Lattice parameters (Å, degrees): 6.4598 6.4540 9.1336 89.88 89.72 59.98
Last column: nearest neighbours and their distance in Å.
Atoms (fractional coordinates):
Ac  0.3291  0.4998  0.8297  1 Nd 3.69, 10 Pm 3.71-3.77, 1 Ac 3.82
Ac  0.6709  0.5002  0.1703  1 Nd 3.69, 10 Pm 3.71-3.77, 1 Ac 3.82
Pm  0.6633  0.8365  0.8304  7 Pm 3.68-3.79, 4 Ac 3.71-3.77, 1 Nd 3.71
Pm  0.3367  0.1635  0.1696  7 Pm 3.68-3.79, 4 Ac 3.71-3.77, 1 Nd 3.71
Pm  0.0000  0.8369  0.1696  7 Pm 3.67-3.79, 4 Ac 3.71-3.77, 1 Nd 3.72
Pm  0.3296  0.8408  0.4999  7 Pm 3.67-3.81, 3 Nd 3.68-3.75, 2 Ac 3.72-3.73
Pm  0.0000  0.1631  0.8304  7 Pm 3.67-3.79, 4 Ac 3.71-3.77, 1 Nd 3.72
Pm  0.6704  0.1592  0.5001  7 Pm 3.67-3.81, 3 Nd 3.68-3.75, 2 Ac 3.72-3.73
Nd  0.0000  0.5000  0.5000  10 Pm 3.68-3.75, 2 Ac 3.69

## Properties
* crystal system: monoclinic
* final energy: -4.579 eV/atom
* theoretical density: 7394 kg/m³

Entry from Alexandria: an optimized crystal structure of CaCe2Dy (PBE).

Lattice parameters (Å, degrees): 3.4294 3.4294 12.7996 82.30 82.30 60.00
Last column: nearest neighbours and their distance in Å.
Atoms (fractional coordinates):
Ca  0.0000  0.0000  0.0000  2 Ce 3.39, 6 Ca 3.43
Ce  0.0893  0.0893  0.7320  1 Ca 3.39, 6 Ce 3.43, 3 Dy 3.54
Ce  0.9107  0.9107  0.2680  1 Ca 3.39, 6 Ce 3.43, 3 Dy 3.54
Dy  0.5000  0.5000  0.5000  6 Dy 3.43, 6 Ce 3.54

## Properties
* crystal system: trigonal
* final energy: -4.371 eV/atom
* theoretical density: 6225 kg/m³

Entry from Alexandria: an optimized crystal structure of KNiTe2 (PBE).

Lattice parameters (Å, degrees): 6.0627 6.0627 6.0627 136.98 136.98 62.47
Last column: nearest neighbours and their distance in Å.
Atoms (fractional coordinates):
K  0.5000  0.5000  0.0000  8 Te 3.14-3.41, 4 Ni 3.41
Ni  0.7500  0.2500  0.5000  8 Te 3.14-3.41, 4 K 3.41
Te  0.0000  0.0000  0.0000  4 K 3.14, 4 Ni 3.41, 4 Te 3.41
Te  0.2500  0.7500  0.5000  4 Ni 3.14, 4 Te 3.41, 4 K 3.41

## Properties
* crystal system: tetragonal
* theoretical density: 5721 kg/m³
* energy relative to the elements, uncorrected: 243 meV/atom

Entry from Alexandria: an optimized crystal structure of LiCdPd (PBE).

Lattice parameters (Å, degrees): 3.2532 3.2532 5.1542 108.40 108.40 90.00
Last column: nearest neighbours and their distance in Å.
Atoms (fractional coordinates):
Cd  0.2831  0.2831  0.5662  5 Li 2.84-2.95, 5 Pd 2.84-2.95
Pd  0.9637  0.9637  0.9274  4 Li 2.64, 5 Cd 2.84-2.95
Li  0.6032  0.6032  0.2065  4 Pd 2.64, 4 Cd 2.84

## Properties
* crystal system: tetragonal
* final energy: -3.067 eV/atom
* theoretical density: 7680 kg/m³

Entry from Alexandria: an optimized crystal structure of CaZrMnAl2 (PBE).

Lattice parameters (Å, degrees): 4.7717 4.6682 4.7717 90.00 90.00 90.00
Last column: nearest neighbours and their distance in Å.
Atoms (fractional coordinates):
Ca  0.5000  0.5000  0.5000  8 Al 3.34, 4 Zr 3.37
Mn  0.0000  0.0000  0.0000  2 Zr 2.33, 4 Al 2.39
Al  0.0000  0.0000  0.5000  2 Mn 2.39
Al  0.5000  0.0000  0.0000  2 Mn 2.39
Zr  0.0000  0.5000  0.0000  2 Mn 2.33

## Properties
* crystal system: tetragonal
* final energy: -5.448 eV/atom
* theoretical density: 3753 kg/m³

Entry from Alexandria: an optimized crystal structure of Hg2SbRh (PBE).

Lattice parameters (Å, degrees): 5.4520 3.3984 4.6396 87.10 90.00 90.00
Last column: nearest neighbours and their distance in Å.
Atoms (fractional coordinates):
Hg  0.0000  0.2442  0.7557  4 Hg 2.74-2.96, 2 Rh 3.05
Hg  0.0000  0.7558  0.2443  4 Hg 2.74-2.96, 2 Rh 3.05
Sb  0.5000  0.5000  0.5000  4 Rh 2.81-2.94, 4 Hg 3.08
Rh  0.5000  0.0000  0.0000  4 Sb 2.81-2.94, 4 Hg 3.05

## Properties
* crystal system: monoclinic
* theoretical density: 12105 kg/m³
* energy relative to the elements, uncorrected: 164 meV/atom

Entry from Alexandria: an optimized crystal structure of CrPb (PBE).

Lattice parameters (Å, degrees): 6.4889 6.4889 4.5838 69.34 69.34 28.32
Last column: nearest neighbours and their distance in Å.
Atoms (fractional coordinates):
Cr  0.9379  0.9379  0.0618  2 Cr 2.17
Cr  0.3121  0.3121  0.1882  2 Cr 2.17
Pb  0.7392  0.7392  0.7611  5 Cr 2.92-3.27, 2 Pb 3.18
Pb  0.5108  0.5108  0.4889  5 Cr 2.92-3.27, 2 Pb 3.18

## Properties
* crystal system: orthorhombic
* final energy: -5.988 eV/atom
* theoretical density: 10092 kg/m³

Entry from Alexandria: an optimized crystal structure of Sc6AsS3 (PBE).

Lattice parameters (Å, degrees): 3.6713 10.9775 10.7090 113.83 90.00 90.00
Last column: nearest neighbours and their distance in Å.
Atoms (fractional coordinates):
Sc  0.7500  0.4453  0.6036  3 S 2.51-2.60
Sc  0.2500  0.5547  0.3964  3 S 2.51-2.60
Sc  0.7500  0.9288  0.0893  3 S 2.54-2.56, 2 As 2.76
Sc  0.2500  0.0712  0.9107  3 S 2.54-2.56, 2 As 2.76
Sc  0.7500  0.3795  0.0600  4 S 2.55-2.65
Sc  0.2500  0.6205  0.9400  4 S 2.55-2.65
Sc  0.7500  0.7362  0.2461  3 S 2.50-2.57, 2 As 2.79
Sc  0.2500  0.2638  0.7539  3 S 2.50-2.57, 2 As 2.79
Sc  0.7500  0.1006  0.4655  2 S 2.54, 2 As 2.73
Sc  0.2500  0.8994  0.5345  2 S 2.54, 2 As 2.73
Sc  0.7500  0.7837  0.7282  3 S 2.53-2.55
Sc  0.2500  0.2163  0.2718  3 S 2.53-2.55
As  0.7500  0.0600  0.7141  7 Sc 2.73-2.87
As  0.2500  0.9400  0.2859  7 Sc 2.73-2.87
S  0.7500  0.4422  0.8454  6 Sc 2.57-2.65
S  0.2500  0.5578  0.1546  6 Sc 2.57-2.65
S  0.7500  0.7244  0.4742  6 Sc 2.50-2.54
S  0.2500  0.2756  0.5258  6 Sc 2.50-2.54
S  0.7500  0.1611  0.0918  6 Sc 2.54-2.56
S  0.2500  0.8389  0.9082  6 Sc 2.54-2.56

## Properties
* crystal system: monoclinic
* theoretical density: 3708 kg/m³
* energy relative to the elements, uncorrected: -1409 meV/atom

Entry from Alexandria: an optimized crystal structure of TmVP2 (PBE).

Lattice parameters (Å, degrees): 4.0131 4.0131 7.8653 75.22 75.22 60.00
Last column: nearest neighbours and their distance in Å.
Atoms (fractional coordinates):
P  0.1005  0.1005  0.6986  1 V 2.27
P  0.8995  0.8995  0.3014  1 V 2.27
Tm  0.5000  0.5000  0.5000  6 P 2.76
V  0.0000  0.0000  0.0000  2 P 2.27

## Properties
* crystal system: trigonal
* final energy: -6.078 eV/atom
* theoretical density: 4464 kg/m³

Which formula does entry 3 have? Ac2Pm6Nd

The highest theoretical density belongs to which entry? Hg2SbRh